VASP calculation (PBE-GGA) on crystalline Pm4CuRu at its relaxed geometry.

energy relative to the lowest polymorph listed for this composition: 0 meV/atom
energy of formation: -141 meV per atom

Lattice parameters (Å, degrees): 13.7195 13.7195 13.7195 90.00 90.00 90.00
Last column: nearest neighbours and their distance in Å.
Space group F-43m (No. 216)
Inequivalent atoms, fractional coordinates:
Pm: 0.0000 0.0000 0.1883 [24 per cell]  2 Cu 3.14, 2 Pm 3.49, 2 Ru 3.50
Pm: 0.0580 0.2500 0.2500 [24 per cell]  2 Ru 2.79
Pm: 0.1012 0.1012 0.6012 [16 per cell]  3 Ru 2.92
Cu: 0.1604 0.1604 0.8396 [16 per cell]  9 Pm 3.14-3.47, 3 Cu 3.48
Ru: 0.1111 0.1111 0.3889 [16 per cell]  6 Pm 2.79-2.92

***

VASP calculation (PBE-GGA) on crystalline Pm2CuRu2 at its relaxed geometry.

energy relative to the lowest polymorph listed for this composition: 0 meV/atom
energy of formation: -178 meV per atom

Lattice parameters (Å, degrees): 4.5629 5.1406 8.9082 90.00 90.00 90.00
Last column: nearest neighbours and their distance in Å.
Space group Immm (No. 71)
Inequivalent atoms, fractional coordinates:
Pm: 0.0000 0.0000 0.1929 [4 per cell]  6 Ru 3.04-3.12, 2 Cu 3.09
Cu: 0.0000 0.5000 0.0000 [2 per cell]  4 Ru 2.64
Ru: 0.0000 0.2570 0.5000 [4 per cell]  2 Ru 2.50-2.64, 2 Cu 2.64

***

VASP calculation (PBE-GGA) on crystalline PmCuRu at its relaxed geometry.

energy relative to the lowest polymorph listed for this composition: 169 meV/atom
energy of formation: -42 meV per atom

Lattice parameters (Å, degrees): 4.2214 4.2214 3.8909 90.00 90.00 120.00
Last column: nearest neighbours and their distance in Å.
Space group P-6m2 (No. 187)
Inequivalent atoms, fractional coordinates:
Pm: 0.0000 0.0000 0.0000 [1 per cell]  6 Ru 3.12, 6 Cu 3.12
Cu: 0.6667 0.3333 0.5000 [1 per cell]  3 Ru 2.44
Ru: 0.3333 0.6667 0.5000 [1 per cell]  3 Cu 2.44

***

VASP calculation (PBE-GGA) on crystalline Pm2CuRu at its relaxed geometry.

energy relative to the lowest polymorph listed for this composition: 46 meV/atom
energy of formation: -203 meV per atom

Lattice parameters (Å, degrees): 7.0438 7.0438 7.0438 90.00 90.00 90.00
Last column: nearest neighbours and their distance in Å.
Space group Fm-3m (No. 225)
Inequivalent atoms, fractional coordinates:
Pm: 0.2500 0.2500 0.2500 [8 per cell]  4 Cu 3.05, 4 Ru 3.05
Cu: 0.0000 0.0000 0.0000 [4 per cell]  8 Pm 3.05
Ru: 0.0000 0.0000 0.5000 [4 per cell]  8 Pm 3.05

***

VASP calculation (PBE-GGA) on crystalline PmCuSbRu at its relaxed geometry.

ΔE_f (raw): -0.189 eV per atom

Lattice parameters (Å, degrees): 6.7381 6.7381 6.7381 90.00 90.00 90.00
Last column: nearest neighbours and their distance in Å.
Space group F-43m (No. 216)
Inequivalent atoms, fractional coordinates:
Pm: 0.0000 0.0000 0.0000 [4 per cell]  4 Ru 2.92, 4 Cu 2.92
Cu: 0.2500 0.2500 0.2500 [4 per cell]  4 Sb 2.92, 4 Pm 2.92
Sb: 0.0000 0.0000 0.5000 [4 per cell]  4 Cu 2.92, 4 Ru 2.92
Ru: 0.2500 0.2500 0.7500 [4 per cell]  4 Sb 2.92, 4 Pm 2.92

***

VASP calculation (PBE-GGA) on crystalline PmScCuRu at its relaxed geometry.

energy of formation: -269 meV per atom

Lattice parameters (Å, degrees): 6.7740 6.7740 6.7740 90.00 90.00 90.00
Last column: nearest neighbours and their distance in Å.
Space group F-43m (No. 216)
Inequivalent atoms, fractional coordinates:
Pm: 0.0000 0.0000 0.0000 [4 per cell]  4 Cu 2.93, 4 Ru 2.93
Sc: 0.0000 0.0000 0.5000 [4 per cell]  4 Ru 2.93, 4 Cu 2.93
Cu: 0.2500 0.2500 0.2500 [4 per cell]  4 Pm 2.93, 4 Sc 2.93
Ru: 0.2500 0.2500 0.7500 [4 per cell]  4 Pm 2.93, 4 Sc 2.93

***

VASP calculation (PBE-GGA) on crystalline PmSmCuRu at its relaxed geometry.

energy relative to the lowest polymorph listed for this composition: 0 meV/atom
energy of formation: -221 meV per atom

Lattice parameters (Å, degrees): 4.3288 3.9468 10.6324 90.00 90.00 90.00
Last column: nearest neighbours and their distance in Å.
Space group Amm2 (No. 38)
Inequivalent atoms, fractional coordinates:
Pm: 0.0000 0.0000 0.0000 [2 per cell]  3 Ru 3.02-3.03, 4 Cu 3.02
Sm: 0.5000 0.0000 0.2804 [2 per cell]  3 Cu 2.98-3.09, 4 Ru 3.01
Cu: 0.5000 0.0000 0.5707 [2 per cell]  2 Ru 2.66, 2 Sm 2.98
Ru: 0.0000 0.0000 0.7162 [2 per cell]  2 Cu 2.66

***

VASP calculation (PBE-GGA) on crystalline PmSmCuRu at its relaxed geometry.

energy relative to the lowest polymorph listed for this composition: 7 meV/atom
energy of formation: -214 meV per atom

Lattice parameters (Å, degrees): 7.0267 7.0267 7.0267 90.00 90.00 90.00
Last column: nearest neighbours and their distance in Å.
Space group F-43m (No. 216)
Inequivalent atoms, fractional coordinates:
Pm: 0.0000 0.0000 0.0000 [4 per cell]  4 Ru 3.04, 4 Cu 3.04
Sm: 0.0000 0.0000 0.5000 [4 per cell]  4 Ru 3.04, 4 Cu 3.04
Cu: 0.2500 0.2500 0.2500 [4 per cell]  4 Pm 3.04, 4 Sm 3.04
Ru: 0.2500 0.2500 0.7500 [4 per cell]  4 Pm 3.04, 4 Sm 3.04

***

Across the entries above, DOS(E_F) takes the values 1.029, 0.764, 0.801, 0.614, 1.176, 0.807, 0.685, 0.637 states/eV/atom, respectively.